Entry 1:
GGA-PBE BaHoIn4, relaxed; space-group type = F-43m, No. 216
1.0
-1.636 -1.895 -5.699
3.615 -4.005 -3.105
-1.906 -5.857 -0.905
In Ho Ba
4 1 1
direct
0.625 0.625 0.124
0.625 0.124 0.625
0.625 0.625 0.625
0.124 0.625 0.625
0.000 0.000 0.000
0.250 0.250 0.250

Entry 2:
GGA-PBE Zn2FeCuRu, relaxed; space-group type = P4/mmm, No. 123
1.0
4.330 0.000 0.000
0.000 4.403 0.000
0.000 0.000 4.330
Ru Zn Fe Cu
1 2 1 1
direct
0.500 0.500 0.500
0.000 0.000 0.500
0.500 0.000 0.000
0.000 0.500 0.000
0.000 0.000 0.000

no.,energy relative to the elements (meV per atom),magnetization (μB/cell),mass density (g/cm3)
1,-294,0.0,7.41
2,963,4.0,7.07